The following is a DFT calculation (SCAN) of CrBi3Os at its PBEsol-relaxed geometry.

Calculated values
Its total magnetic moment is 3.9 μB per cell. The density comes out at 11.6 g/cm3. The calculation puts the energy of formation at 1.4966 eV/atom.

Cell and atoms, written as CIF:
```
data_CrBi3Os
_cell_length_a 4.995
_cell_length_b 4.995
_cell_length_c 4.995
_cell_angle_alpha 90.00
_cell_angle_beta 90.00
_cell_angle_gamma 90.00
_symmetry_space_group_name_H-M 'P m -3 m'
_symmetry_Int_Tables_number 221
_symmetry_space_group_name_Hall '-P 4 2 3'
loop_
_atom_site_label
_atom_site_type_symbol
_atom_site_fract_x
_atom_site_fract_y
_atom_site_fract_z
_atom_site_occupancy
Cr1 Cr 0.000 0.000 0.000 1
Bi1 Bi 0.000 0.000 0.500 1
Os1 Os 0.500 0.500 0.500 1
```

=====

The following is a DFT calculation (SCAN) of Dy2HfS5 at its PBEsol-relaxed geometry.

Calculated values
Its total magnetic moment is 0.0 μB per cell. The calculation puts the energy relative to the elements, uncorrected at -2.131 eV per atom. The density comes out at 7.1 g/cm3.

Cell and atoms, written as CIF:
```
data_Dy2HfS5
_cell_length_a 11.331
_cell_length_b 7.643
_cell_length_c 7.139
_cell_angle_alpha 90.00
_cell_angle_beta 90.00
_cell_angle_gamma 90.00
_symmetry_space_group_name_H-M 'P n m a'
_symmetry_Int_Tables_number 62
_symmetry_space_group_name_Hall '-P 2ac 2n'
loop_
_atom_site_label
_atom_site_type_symbol
_atom_site_fract_x
_atom_site_fract_y
_atom_site_fract_z
_atom_site_occupancy
Dy1 Dy 0.178 0.003 0.026 1
Hf1 Hf 0.007 0.750 0.577 1
S1 S 0.003 0.750 0.949 1
S2 S 0.092 0.039 0.663 1
S3 S 0.182 0.750 0.333 1
S4 S 0.209 0.250 0.312 1
```

=====

The following is a DFT calculation (SCAN) of BeHg2As at its PBEsol-relaxed geometry.

Calculated values
Its total magnetic moment is 0.0 μB per cell. The density comes out at 10.8 g/cm3. The calculation puts the energy of formation at 0.2568 eV/atom.

Cell and atoms, written as CIF:
```
data_BeHg2As
_cell_length_a 2.971
_cell_length_b 4.289
_cell_length_c 11.753
_cell_angle_alpha 90.00
_cell_angle_beta 90.00
_cell_angle_gamma 90.00
_symmetry_space_group_name_H-M 'I m m 2'
_symmetry_Int_Tables_number 44
_symmetry_space_group_name_Hall 'I 2 -2'
loop_
_atom_site_label
_atom_site_type_symbol
_atom_site_fract_x
_atom_site_fract_y
_atom_site_fract_z
_atom_site_occupancy
Be1 Be 0.000 0.000 0.000 1
Hg1 Hg 0.000 0.000 0.521 1
Hg2 Hg 0.000 0.500 0.704 1
As1 As 0.000 0.500 0.340 1
```

=====

The following is a DFT calculation (SCAN) of KMn3Te at its PBEsol-relaxed geometry.

Calculated values
Its total magnetic moment is 10.3 μB per cell. The calculation puts the energy relative to the elements, uncorrected at 0.647 eV per atom. The density comes out at 4.4 g/cm3.

Cell and atoms, written as CIF:
```
data_KMn3Te
_cell_length_a 5.005
_cell_length_b 5.005
_cell_length_c 5.005
_cell_angle_alpha 90.00
_cell_angle_beta 90.00
_cell_angle_gamma 90.00
_symmetry_space_group_name_H-M 'P m -3 m'
_symmetry_Int_Tables_number 221
_symmetry_space_group_name_Hall '-P 4 2 3'
loop_
_atom_site_label
_atom_site_type_symbol
_atom_site_fract_x
_atom_site_fract_y
_atom_site_fract_z
_atom_site_occupancy
K1 K 0.000 0.000 0.000 1
Mn1 Mn 0.000 0.500 0.500 1
Te1 Te 0.500 0.500 0.500 1
```

=====

Among the records above, which one has the lowest density? KMn3Te

=====

Repeat the third record exactly.
The following is a DFT calculation (SCAN) of BeHg2As at its PBEsol-relaxed geometry.

Calculated values
Its total magnetic moment is 0.0 μB per cell. The density comes out at 10.8 g/cm3. The calculation puts the energy of formation at 0.2568 eV/atom.

Cell and atoms, written as CIF:
```
data_BeHg2As
_cell_length_a 2.971
_cell_length_b 4.289
_cell_length_c 11.753
_cell_angle_alpha 90.00
_cell_angle_beta 90.00
_cell_angle_gamma 90.00
_symmetry_space_group_name_H-M 'I m m 2'
_symmetry_Int_Tables_number 44
_symmetry_space_group_name_Hall 'I 2 -2'
loop_
_atom_site_label
_atom_site_type_symbol
_atom_site_fract_x
_atom_site_fract_y
_atom_site_fract_z
_atom_site_occupancy
Be1 Be 0.000 0.000 0.000 1
Hg1 Hg 0.000 0.000 0.521 1
Hg2 Hg 0.000 0.500 0.704 1
As1 As 0.000 0.500 0.340 1
```